No. 1
A plane-wave DFT calculation with PBE was carried out for NiPd4Pt3 after structural relaxation.

a b c (Å): 2.7186 8.6047 10.6106
angles (deg): 90.00 90.00 90.00
Closest atoms and distances in Å follow each position.
Positions (direct):
Ni: 0.0000 0.0000 0.0000  4 Pt 2.56, 4 Pd 2.67, 2 Ni 2.72
Ni: 0.5000 0.5000 0.5000  4 Pt 2.56, 4 Pd 2.67, 2 Ni 2.72
Pd: 0.0000 0.2660 0.1288  1 Ni 2.67, 5 Pt 2.68-2.79, 5 Pd 2.72-2.92
Pd: 0.0000 0.2660 0.8712  1 Ni 2.67, 5 Pt 2.68-2.79, 5 Pd 2.72-2.92
Pd: 0.0000 0.7340 0.1288  1 Ni 2.67, 5 Pt 2.68-2.79, 5 Pd 2.72-2.92
Pd: 0.0000 0.7340 0.8712  1 Ni 2.67, 5 Pt 2.68-2.79, 5 Pd 2.72-2.92
Pd: 0.5000 0.2340 0.3712  1 Ni 2.67, 5 Pt 2.68-2.79, 5 Pd 2.72-2.92
Pd: 0.5000 0.2340 0.6288  1 Ni 2.67, 5 Pt 2.68-2.79, 5 Pd 2.72-2.92
Pd: 0.5000 0.7660 0.3712  1 Ni 2.67, 5 Pt 2.68-2.79, 5 Pd 2.72-2.92
Pd: 0.5000 0.7660 0.6288  1 Ni 2.67, 5 Pt 2.68-2.79, 5 Pd 2.72-2.92
Pt: 0.0000 0.0000 0.5000  2 Pt 2.72, 8 Pd 2.79
Pt: 0.0000 0.5000 0.2958  2 Ni 2.56, 6 Pd 2.68-2.78, 2 Pt 2.72
Pt: 0.0000 0.5000 0.7042  2 Ni 2.56, 6 Pd 2.68-2.78, 2 Pt 2.72
Pt: 0.5000 0.0000 0.2042  2 Ni 2.56, 6 Pd 2.68-2.78, 2 Pt 2.72
Pt: 0.5000 0.0000 0.7958  2 Ni 2.56, 6 Pd 2.68-2.78, 2 Pt 2.72
Pt: 0.5000 0.5000 0.0000  2 Pt 2.72, 8 Pd 2.79

Results
- formation energy (meV/atom) = 57
- SG = Immm, No. 71
- Fermi-level density of states (states/eV per cell) = 23.6
- spin magnetization (μB per atom) = 0.25
- polymorph energy (0 for the lowest one) (meV/atom) = 76

=====

No. 2
A plane-wave DFT calculation with PBE was carried out for NdHfN after structural relaxation.

a b c (Å): 3.3694 3.3694 5.9707
angles (deg): 90.00 90.00 120.00
Closest atoms and distances in Å follow each position.
Positions (direct):
Nd: 0.0000 0.0000 0.0000  3 N 2.60
Hf: 0.3333 0.6667 0.4566  3 N 2.19
N: 0.6667 0.3333 0.2889  3 Hf 2.19

Results
- SG = P3m1, No. 156
- Fermi-level density of states (states/eV per cell) = 1.6
- spin magnetization (μB per atom) = 0.00
- polymorph energy (0 for the lowest one) (meV/atom) = 102

=====

No. 3
A plane-wave DFT calculation with PBE was carried out for Rb2Te2O5 after structural relaxation.

a b c (Å): 7.2046 7.2046 6.6431
angles (deg): 108.35 108.35 34.75
Closest atoms and distances in Å follow each position.
Positions (direct):
Rb: 0.0850 0.0850 0.3713  7 O 2.94-3.28
Rb: 0.9150 0.9150 0.6287  7 O 2.94-3.28
Te: 0.3519 0.3519 0.0234  1 O 1.85
Te: 0.6481 0.6481 0.9766  1 O 1.85
O: 0.1737 0.1737 0.0039  3 Te 2.18-2.41
O: 0.3981 0.3981 0.3184  1 Te 1.85
O: 0.5000 0.5000 0.0000  2 Te 2.09
O: 0.6019 0.6019 0.6816  1 Te 1.85
O: 0.8263 0.8263 0.9961  3 Te 2.18-2.41

Results
- SG = C2/m, No. 12
- DFT total energy (eV per atom) = -4.91
- spin magnetization (μB per atom) = 0.00

=====

No. 4
A plane-wave DFT calculation with PBE was carried out for HfSi2Os after structural relaxation.

a b c (Å): 3.9171 3.9171 17.8731
angles (deg): 90.00 90.00 90.00
Closest atoms and distances in Å follow each position.
Positions (direct):
Hf: 0.0000 0.0000 0.0000  4 Si 2.72, 4 Os 2.77
Hf: 0.0000 0.5000 0.2500  4 Si 2.72, 4 Os 2.77
Hf: 0.5000 0.0000 0.7500  4 Si 2.72, 4 Os 2.77
Hf: 0.5000 0.5000 0.5000  4 Si 2.72, 4 Os 2.77
Si: 0.1934 0.2500 0.6250  2 Si 2.48, 2 Os 2.55, 2 Hf 2.72
Si: 0.2500 0.6934 0.8750  2 Si 2.48, 2 Os 2.55, 2 Hf 2.72
Si: 0.2500 0.8066 0.3750  2 Si 2.48, 2 Os 2.55, 2 Hf 2.72
Si: 0.3066 0.2500 0.1250  2 Si 2.48, 2 Os 2.55, 2 Hf 2.72
Si: 0.6934 0.7500 0.1250  2 Si 2.48, 2 Os 2.55, 2 Hf 2.72
Si: 0.7500 0.1934 0.3750  2 Si 2.48, 2 Os 2.55, 2 Hf 2.72
Si: 0.7500 0.3066 0.8750  2 Si 2.48, 2 Os 2.55, 2 Hf 2.72
Si: 0.8066 0.7500 0.6250  2 Si 2.48, 2 Os 2.55, 2 Hf 2.72
Os: 0.0000 0.0000 0.5000  4 Si 2.55, 4 Hf 2.77
Os: 0.0000 0.5000 0.7500  4 Si 2.55, 4 Hf 2.77
Os: 0.5000 0.0000 0.2500  4 Si 2.55, 4 Hf 2.77
Os: 0.5000 0.5000 0.0000  4 Si 2.55, 4 Hf 2.77

Results
- SG = I-42d, No. 122
- Fermi-level density of states (states/eV per cell) = 9.6
- DFT total energy (eV per atom) = -8.01
- spin magnetization (μB per atom) = 0.00

=====

No. 5
A plane-wave DFT calculation with PBE was carried out for Ac2NdSn after structural relaxation.

a b c (Å): 6.2606 4.0607 12.7116
angles (deg): 90.00 96.86 90.00
Closest atoms and distances in Å follow each position.
Positions (direct):
Ac: 0.1577 0.0000 0.1410  4 Sn 3.26-3.48
Ac: 0.3148 0.9989 0.7293  2 Sn 3.52-3.53, 1 Nd 3.73
Ac: 0.6852 0.4989 0.2707  2 Sn 3.52-3.53, 1 Nd 3.73
Ac: 0.8423 0.5000 0.8590  4 Sn 3.26-3.48
Nd: 0.2459 0.9883 0.4335  2 Ac 3.69-3.73, 4 Nd 3.98-4.06
Nd: 0.7541 0.4883 0.5665  2 Ac 3.69-3.73, 4 Nd 3.98-4.06
Sn: 0.3476 0.4997 0.9575  2 Sn 2.90
Sn: 0.6524 0.9997 0.0425  2 Sn 2.90

Results
- formation energy (meV/atom) = -139
- SG = P2_1, No. 4
- Fermi-level density of states (states/eV per cell) = 11.6
- spin magnetization (μB per atom) = 0.00
- polymorph energy (0 for the lowest one) (meV/atom) = 217

=====

No. 6
A plane-wave DFT calculation with PBE was carried out for Tl2ZnAu after structural relaxation.

a b c (Å): 4.4351 4.4351 9.7729
angles (deg): 90.00 90.00 90.00
Closest atoms and distances in Å follow each position.
Positions (direct):
Tl: 0.0000 0.0000 0.0000  4 Au 3.14, 4 Tl 3.30, 4 Zn 3.30
Tl: 0.0000 0.5000 0.2500  4 Zn 3.14, 4 Au 3.30, 4 Tl 3.30
Tl: 0.5000 0.0000 0.7500  4 Zn 3.14, 4 Tl 3.30, 4 Au 3.30
Tl: 0.5000 0.5000 0.5000  4 Au 3.14, 4 Tl 3.30, 4 Zn 3.30
Zn: 0.0000 0.5000 0.7500  8 Tl 3.14-3.30, 4 Au 3.30
Zn: 0.5000 0.0000 0.2500  8 Tl 3.14-3.30, 4 Au 3.30
Au: 0.0000 0.0000 0.5000  8 Tl 3.14-3.30, 4 Zn 3.30
Au: 0.5000 0.5000 0.0000  8 Tl 3.14-3.30, 4 Zn 3.30

Results
- formation energy (meV/atom) = 117
- SG = I-4m2, No. 119
- Fermi-level density of states (states/eV per cell) = 2.1
- spin magnetization (μB per atom) = 0.00
- polymorph energy (0 for the lowest one) (meV/atom) = 130

=====

No. 7
A plane-wave DFT calculation with PBE was carried out for LaCoIr2 after structural relaxation.

a b c (Å): 6.5611 6.5611 6.5611
angles (deg): 90.00 90.00 90.00
Closest atoms and distances in Å follow each position.
Positions (direct):
La: 0.0000 0.0000 0.0000  4 Co 2.84, 4 Ir 2.84
La: 0.0000 0.5000 0.5000  4 Co 2.84, 4 Ir 2.84
La: 0.5000 0.0000 0.5000  4 Co 2.84, 4 Ir 2.84
La: 0.5000 0.5000 0.0000  4 Co 2.84, 4 Ir 2.84
Co: 0.2500 0.2500 0.7500  4 La 2.84, 4 Ir 2.84
Co: 0.2500 0.7500 0.2500  4 La 2.84, 4 Ir 2.84
Co: 0.7500 0.2500 0.2500  4 La 2.84, 4 Ir 2.84
Co: 0.7500 0.7500 0.7500  4 La 2.84, 4 Ir 2.84
Ir: 0.0000 0.0000 0.5000  4 Ir 2.84, 4 Co 2.84
Ir: 0.0000 0.5000 0.0000  4 Ir 2.84, 4 Co 2.84
Ir: 0.2500 0.2500 0.2500  4 La 2.84, 4 Ir 2.84
Ir: 0.2500 0.7500 0.7500  4 La 2.84, 4 Ir 2.84
Ir: 0.5000 0.0000 0.0000  4 Ir 2.84, 4 Co 2.84
Ir: 0.5000 0.5000 0.5000  4 Ir 2.84, 4 Co 2.84
Ir: 0.7500 0.2500 0.7500  4 La 2.84, 4 Ir 2.84
Ir: 0.7500 0.7500 0.2500  4 La 2.84, 4 Ir 2.84

Results
- formation energy (meV/atom) = 246
- SG = F-43m, No. 216
- Fermi-level density of states (states/eV per cell) = 36.3
- spin magnetization (μB per atom) = 0.52

=====

No. 8
A plane-wave DFT calculation with PBE was carried out for SrScPt2 after structural relaxation.

a b c (Å): 3.4140 3.4282 7.2724
angles (deg): 90.00 90.00 90.00
Closest atoms and distances in Å follow each position.
Positions (direct):
Sr: 0.0000 0.0000 0.0000  8 Pt 3.25, 4 Sr 3.41-3.43, 2 Sc 3.64
Sc: 0.0000 0.0000 0.5000  8 Pt 2.83
Pt: 0.5000 0.5000 0.2982  4 Sc 2.83, 1 Pt 2.94
Pt: 0.5000 0.5000 0.7018  4 Sc 2.83, 1 Pt 2.94

Results
- formation energy (meV/atom) = -1002
- SG = Pmmm, No. 47
- Fermi-level density of states (states/eV per cell) = 1.9
- spin magnetization (μB per atom) = 0.00
- polymorph energy (0 for the lowest one) (meV/atom) = 0

=====

No. 9
A plane-wave DFT calculation with PBE was carried out for CuReHg2 after structural relaxation.

a b c (Å): 9.6704 2.8205 5.2718
angles (deg): 90.00 103.33 90.00
Closest atoms and distances in Å follow each position.
Positions (direct):
Cu: 0.0000 0.0000 0.0000  6 Hg 2.77-3.08, 2 Cu 2.82, 4 Re 2.99
Cu: 0.5000 0.5000 0.0000  6 Hg 2.77-3.08, 2 Cu 2.82, 4 Re 2.99
Re: 0.0000 0.5000 0.5000  2 Re 2.82, 6 Hg 2.92-2.94, 4 Cu 2.99
Re: 0.5000 0.0000 0.5000  2 Re 2.82, 6 Hg 2.92-2.94, 4 Cu 2.99
Hg: 0.2404 0.5000 0.2464  3 Cu 2.77-3.08, 6 Hg 2.82-3.00, 3 Re 2.92-2.94
Hg: 0.2596 0.0000 0.7536  3 Cu 2.77-3.08, 6 Hg 2.82-3.00, 3 Re 2.92-2.94
Hg: 0.7404 0.0000 0.2464  3 Cu 2.77-3.08, 6 Hg 2.82-3.00, 3 Re 2.92-2.94
Hg: 0.7596 0.5000 0.7536  3 Cu 2.77-3.08, 6 Hg 2.82-3.00, 3 Re 2.92-2.94

Results
- formation energy (meV/atom) = 762
- SG = C2/m, No. 12
- Fermi-level density of states (states/eV per cell) = 3.6
- spin magnetization (μB per atom) = 0.00
- polymorph energy (0 for the lowest one) (meV/atom) = 217

=====

No. 10
A plane-wave DFT calculation with PBE was carried out for Ca2CrCo after structural relaxation.

a b c (Å): 4.0277 4.6061 10.6899
angles (deg): 90.00 90.00 90.00
Closest atoms and distances in Å follow each position.
Positions (direct):
Ca: 0.0000 0.0000 0.0000  3 Co 3.07-3.31, 4 Cr 3.24
Ca: 0.0000 0.5000 0.5000  3 Co 3.07-3.31, 4 Cr 3.24
Ca: 0.5000 0.0000 0.2890  3 Cr 3.06-3.32, 4 Co 3.24
Ca: 0.5000 0.5000 0.7890  3 Cr 3.06-3.32, 4 Co 3.24
Cr: 0.5000 0.0000 0.6000  2 Co 2.23
Cr: 0.5000 0.5000 0.1000  2 Co 2.23
Co: 0.0000 0.0000 0.6900  2 Cr 2.23
Co: 0.0000 0.5000 0.1900  2 Cr 2.23

Results
- formation energy (meV/atom) = 385
- SG = Amm2, No. 38
- Fermi-level density of states (states/eV per cell) = 7.8
- spin magnetization (μB per atom) = 0.88
- polymorph energy (0 for the lowest one) (meV/atom) = 0

=====

No. 11
A plane-wave DFT calculation with PBE was carried out for Nd2HoZrAs4 after structural relaxation.

a b c (Å): 7.1246 4.1137 7.1411
angles (deg): 90.00 109.28 90.00
Closest atoms and distances in Å follow each position.
Positions (direct):
Nd: 0.0000 0.0000 0.0000  6 As 3.01
Nd: 0.5000 0.5000 0.0000  6 As 2.95-2.96
Ho: 0.0000 0.5000 0.5000  6 As 2.87
Zr: 0.5000 0.0000 0.5000  6 As 2.81-2.82
As: 0.2516 0.0000 0.7337  1 Zr 2.81, 2 Ho 2.87, 3 Nd 2.96-3.01
As: 0.2629 0.5000 0.2701  2 Zr 2.82, 1 Ho 2.87, 3 Nd 2.95-3.01
As: 0.7371 0.5000 0.7299  2 Zr 2.82, 1 Ho 2.87, 3 Nd 2.95-3.01
As: 0.7484 0.0000 0.2663  1 Zr 2.81, 2 Ho 2.87, 3 Nd 2.96-3.01

Results
- formation energy (meV/atom) = -1413
- SG = P2/m, No. 10
- Fermi-level density of states (states/eV per cell) = 1.5
- spin magnetization (μB per atom) = 0.00

=====

No. 12
A plane-wave DFT calculation with PBE was carried out for Ce2ThPb after structural relaxation.

a b c (Å): 7.7825 7.7825 7.7825
angles (deg): 90.00 90.00 90.00
Closest atoms and distances in Å follow each position.
Positions (direct):
Ce: 0.2500 0.2500 0.2500  4 Th 3.37, 4 Pb 3.37
Ce: 0.2500 0.2500 0.7500  4 Pb 3.37, 4 Th 3.37
Ce: 0.2500 0.7500 0.2500  4 Pb 3.37, 4 Th 3.37
Ce: 0.2500 0.7500 0.7500  4 Pb 3.37, 4 Th 3.37
Ce: 0.7500 0.2500 0.2500  4 Pb 3.37, 4 Th 3.37
Ce: 0.7500 0.2500 0.7500  4 Pb 3.37, 4 Th 3.37
Ce: 0.7500 0.7500 0.2500  4 Pb 3.37, 4 Th 3.37
Ce: 0.7500 0.7500 0.7500  4 Pb 3.37, 4 Th 3.37
Th: 0.0000 0.0000 0.0000  8 Ce 3.37
Th: 0.0000 0.5000 0.5000  8 Ce 3.37
Th: 0.5000 0.0000 0.5000  8 Ce 3.37
Th: 0.5000 0.5000 0.0000  8 Ce 3.37
Pb: 0.0000 0.0000 0.5000  8 Ce 3.37
Pb: 0.0000 0.5000 0.0000  8 Ce 3.37
Pb: 0.5000 0.0000 0.0000  8 Ce 3.37
Pb: 0.5000 0.5000 0.5000  8 Ce 3.37

Results
- formation energy (meV/atom) = -26
- SG = Fm-3m, No. 225
- Fermi-level density of states (states/eV per cell) = 48.6
- spin magnetization (μB per atom) = 0.49
- polymorph energy (0 for the lowest one) (meV/atom) = 196